# 1
AlTl2GaB, relaxed, DFT PBEsol; energy relative to the elements = 53.5 kJ per mole of atoms; polymorph energy (0 for the lowest one) = 0 meV per atom
1.0
3.975 0.000 0.000
0.000 5.167 0.000
0.000 0.000 5.167
Ga B Al Tl
1 1 1 2
Direct
0.500 0.500 0.500
0.000 0.000 0.000
0.500 0.000 0.000
0.000 0.000 0.500
0.000 0.500 0.000

# 2
CsBaHg2, relaxed, DFT PBEsol; energy relative to the elements = -26.4 kJ per mole of atoms
1.0
-0.213 -3.435 4.835
3.039 -5.096 0.156
4.771 -0.504 3.494
Cs Hg Ba
1 2 1
Direct
0.000 0.000 0.000
0.750 0.750 0.750
0.250 0.250 0.250
0.500 0.500 0.500

# 3
Be2TlPb, relaxed, DFT PBEsol; energy relative to the elements = 74.7 kJ per mole of atoms
1.0
-2.032 -2.119 2.449
3.236 -1.219 1.631
-0.771 5.691 1.300
Pb Tl Be
1 1 2
Direct
0.500 0.500 0.000
0.250 0.750 0.500
0.750 0.250 0.500
0.000 0.000 0.000

# 4
BaTiTe2, relaxed, DFT PBEsol; energy relative to the elements, uncorrected = -322 meV per atom
1.0
-3.477 -1.288 -3.423
1.363 -2.512 -4.159
-2.001 -8.919 1.669
Ba Te Ti
1 2 1
Direct
0.500 0.500 0.500
0.902 0.902 0.295
0.098 0.098 0.705
0.000 0.000 0.000

# 5
CsBi2P2, relaxed, DFT PBEsol; energy relative to the elements = -9.0 kJ per mole of atoms; polymorph energy (0 for the lowest one) = 0 meV per atom
1.0
5.222 0.000 0.000
0.000 5.222 0.000
-2.611 -2.611 5.667
Cs P Bi
1 2 2
Direct
0.000 0.000 0.000
0.250 0.750 0.500
0.750 0.250 0.500
0.660 0.660 0.321
0.340 0.340 0.679

# 6
ScTc2Os, relaxed, DFT PBEsol; energy relative to the elements = 14.2 kJ per mole of atoms; polymorph energy (0 for the lowest one) = 187 meV per atom
1.0
-2.158 3.050 -0.400
-3.069 -2.169 0.023
2.372 -0.053 4.453
Tc Sc Os
2 1 1
Direct
0.250 0.750 0.500
0.750 0.250 0.500
0.000 0.000 0.000
0.500 0.500 0.000